1.
Crystalline ZnReTeO2 at its relaxed geometry. Source: Alexandria via LeMat-Bulk, functional PBE-GGA.

Computed properties:
Final energy: -23.5 eV/f.u.

a = 3.8423 Å, b = 5.7329 Å, c = 3.8423 Å
α = 90.00°, β = 90.00°, γ = 90.00°
Closest atoms and distances in Å follow each position.
Sites, in units of the cell vectors:
O 0.0000 0.0000 0.5000  2 Zn 1.92
O 0.5000 0.0000 0.0000  2 Zn 1.92
Re 0.0000 0.5000 0.0000  4 Te 2.72, 2 Zn 2.87
Te 0.5000 0.5000 0.5000  4 Re 2.72
Zn 0.0000 0.0000 0.0000  4 O 1.92



2.
Crystalline ThReO6 at its relaxed geometry. Source: Alexandria via LeMat-Bulk, functional PBE-GGA.

Computed properties:
Final energy: -66.4 eV/f.u.

a = 5.9255 Å, b = 5.9254 Å, c = 5.9286 Å
α = 60.02°, β = 60.02°, γ = 60.00°
Closest atoms and distances in Å follow each position.
Sites, in units of the cell vectors:
Th 0.5000 0.5000 0.5000  6 O 2.31
Re 0.0000 0.0000 0.0000  6 O 1.88
O 0.7748 0.2246 0.2244  1 Re 1.88
O 0.7762 0.7748 0.2244  1 Re 1.88
O 0.7754 0.2238 0.7756  1 Re 1.88
O 0.2246 0.7762 0.2244  1 Re 1.88
O 0.2238 0.2252 0.7756  1 Re 1.88
O 0.2252 0.7754 0.7756  1 Re 1.88



3.
Crystalline ThReO5 at its relaxed geometry. Source: Alexandria via LeMat-Bulk, functional PBE-GGA.

Computed properties:
Final energy: -62.0 eV/f.u.

a = 5.6533 Å, b = 5.6533 Å, c = 7.6482 Å
α = 70.29°, β = 70.29°, γ = 71.59°
Closest atoms and distances in Å follow each position.
Sites, in units of the cell vectors:
O 0.2913 0.6901 0.4713  1 Re 2.01
O 0.2067 0.2335 0.8887  1 Re 1.84
O 0.7933 0.7665 0.1113  1 Re 1.84
O 0.7087 0.3099 0.5287  1 Re 2.01
O 0.7665 0.7933 0.6113  1 Re 1.84
O 0.9466 0.0534 0.2500  2 Re 1.94
O 0.3099 0.7087 0.0287  1 Re 2.01
O 0.6901 0.2913 0.9713  1 Re 2.01
O 0.2335 0.2067 0.3887  1 Re 1.84
O 0.0534 0.9466 0.7500  2 Re 1.94
Re 0.0000 0.0000 0.0000  6 O 1.84-2.01
Re 0.0000 0.0000 0.5000  6 O 1.84-2.01
Th 0.5423 0.4577 0.2500  6 O 2.30-2.40
Th 0.4577 0.5423 0.7500  6 O 2.30-2.40



4.
Crystalline TiRe3O at its relaxed geometry. Source: Alexandria via LeMat-Bulk, functional PBE-GGA.

Computed properties:
E above lowest polymorph: 0.000 eV per atom

a = 4.1006 Å, b = 4.1006 Å, c = 4.1006 Å
α = 90.00°, β = 90.00°, γ = 90.00°
Closest atoms and distances in Å follow each position.
Sites, in units of the cell vectors:
Re 0.0000 0.5000 0.0000  2 O 2.05
Re 0.5000 0.0000 0.0000  2 O 2.05
Re 0.0000 0.0000 0.5000  2 O 2.05
Ti 0.5000 0.5000 0.5000  12 Re 2.90
O 0.0000 0.0000 0.0000  6 Re 2.05



In Bohr magnetons per cell, the spin magnetization values for the records above are, in order, 3.70; 1.06; 0.00; 0.00.
In A^3/atom, the calculated volume values for the records above are, in order, 16.9; 18.4; 15.1; 13.8.